No. 1
First-principles (PBE) data for a relaxed structure of CoSb3Se, as listed in the Alexandria database.

```
CoSb3Se
1.0
6.522 0.000 0.000
0.000 9.124 -4.100
0.000 -1.196 8.678
Co Sb Se
4 12 4
Cartesian
4.925 5.131 2.025
1.597 2.796 2.554
1.664 6.760 4.843
4.858 1.167 -0.265
5.947 2.857 1.232
0.575 5.071 3.347
2.686 1.107 1.058
3.836 6.821 3.521
2.563 4.803 1.151
3.958 3.125 3.428
5.824 8.285 -2.961
0.697 -0.357 7.540
6.063 6.383 0.199
0.458 1.544 4.380
2.803 6.704 -2.009
3.719 1.223 6.588
1.666 4.154 -1.368
4.856 3.774 5.946
4.927 -0.190 3.657
1.595 8.117 0.921
```

Energy above the most stable polymorph in this dataset, meV per atom: 0

No. 2
First-principles (PBE) data for a relaxed structure of CoSb2Se, as listed in the Alexandria database.

```
CoSb2Se
1.0
-4.221 4.199 -0.964
-0.849 -2.134 -5.577
-6.755 -2.731 -1.188
Sb Co Se
4 2 2
Cartesian
-4.140 1.383 -1.529
-3.040 -1.200 -3.970
-7.026 -1.422 -3.731
-9.444 -0.093 -6.227
-2.535 1.033 -3.270
-5.070 -1.916 -5.018
0.000 0.000 0.000
-6.755 1.250 -2.711
```

Quick rundown of energy relative to the elements, uncorrected, same order as above: -4 135 meV/atom
Quick rundown of total magnetization, same order as above: 0.00 0.00 μB/f.u.
Quick rundown of DOS at the Fermi energy, same order as above: 0.406 0.960 states/eV per atom